No. 1
Here is a geometry-optimized In2TeAu structure from the Alexandria database. Energies are from PBEsol.

a = 4.109 Å, b = 4.109 Å, c = 7.303 Å
α = 73.66°, β = 73.66°, γ = 60.00°
Sites, in units of the cell vectors:
In 0.760 0.760 0.719
In 0.240 0.240 0.281
Te 0.000 0.000 0.000
Au 0.500 0.500 0.500

Values from the calculation:
ΔE_f (raw)   -205 meV per atom
DOS at the Fermi energy   0.377 states/eV/atom

***

No. 2
Here is a geometry-optimized InTeAu2 structure from the Alexandria database. Energies are from PBEsol.

a = 4.126 Å, b = 4.126 Å, c = 6.555 Å
α = 71.66°, β = 71.66°, γ = 60.00°
Sites, in units of the cell vectors:
Au 0.753 0.753 0.740
Au 0.247 0.247 0.260
In 0.500 0.500 0.500
Te 0.000 0.000 0.000

Values from the calculation:
ΔE_f (raw)   -81 meV per atom
Energy above the lowest structure with this stoichiometry   8 meV/atom
DOS at the Fermi energy   0.422 states/eV/atom

***

No. 3
Here is a geometry-optimized In2TeAu2 structure from the Alexandria database. Energies are from PBEsol.

a = 4.296 Å, b = 4.296 Å, c = 6.914 Å
α = 108.10°, β = 108.10°, γ = 90.00°
Sites, in units of the cell vectors:
Te 0.000 0.000 0.000
Au 0.607 0.607 0.214
Au 0.393 0.393 0.786
In 0.750 0.250 0.500
In 0.250 0.750 0.500

Values from the calculation:
ΔE_f (raw)   -19 meV per atom
DOS at the Fermi energy   0.457 states/eV/atom

***

No. 4
Here is a geometry-optimized In2TeAu structure from the Alexandria database. Energies are from PBEsol.

a = 4.821 Å, b = 4.821 Å, c = 5.354 Å
α = 116.76°, β = 116.76°, γ = 90.00°
Sites, in units of the cell vectors:
Te 0.500 0.500 0.000
Au 0.250 0.750 0.500
In 0.750 0.250 0.500
In 0.000 0.000 0.000

Values from the calculation:
ΔE_f (raw)   65 meV per atom
DOS at the Fermi energy   0.504 states/eV/atom